1.
# CuHgP2 GGA-PBE relaxed
# - E_form: 2.3 eV per formula unit
# - DFT total energy: -3.241 eV per atom
data_CuHgP2
_cell_length_a 3.5664
_cell_length_b 3.5664
_cell_length_c 5.6125
_cell_angle_alpha 90.00
_cell_angle_beta 90.00
_cell_angle_gamma 90.00
_symmetry_space_group_name_H-M 'P 1'
_symmetry_Int_Tables_number 1
_symmetry_space_group_name_Hall 'P 1'
loop_
_atom_site_label
_atom_site_type_symbol
_atom_site_fract_x
_atom_site_fract_y
_atom_site_fract_z
_atom_site_occupancy
Hg1 Hg 0.0000 0.5000 0.5000 1
Cu1 Cu 0.5000 0.0000 0.5000 1
P1 P 0.5000 0.5000 0.0000 1
P2 P 0.0000 0.0000 0.0000 1


2.
# CuHg2P GGA-PBE relaxed
# - E_form: 2.1 eV per formula unit
# - DFT total energy: -2.006 eV per atom
data_CuHg2P
_cell_length_a 5.5751
_cell_length_b 5.5751
_cell_length_c 7.8140
_cell_angle_alpha 69.10
_cell_angle_beta 69.10
_cell_angle_gamma 90.00
_symmetry_space_group_name_H-M 'P 1'
_symmetry_Int_Tables_number 1
_symmetry_space_group_name_Hall 'P 1'
loop_
_atom_site_label
_atom_site_type_symbol
_atom_site_fract_x
_atom_site_fract_y
_atom_site_fract_z
_atom_site_occupancy
Hg1 Hg 0.6041 0.1250 0.2500 1
Hg2 Hg 0.3750 0.3959 0.7500 1
Hg3 Hg 0.8750 0.8541 0.7500 1
Hg4 Hg 0.1459 0.6250 0.2500 1
Cu1 Cu 0.0000 0.0000 0.0000 1
P1 P 0.2500 0.7500 0.5000 1
Cu2 Cu 0.7500 0.2500 0.5000 1
P2 P 0.5000 0.5000 0.0000 1


3.
# CuHgP2 GGA-PBE relaxed
# - E_form: 1.7 eV per formula unit
# - DFT total energy: -3.384 eV per atom
data_CuHgP2
_cell_length_a 3.7652
_cell_length_b 3.7652
_cell_length_c 7.8461
_cell_angle_alpha 90.00
_cell_angle_beta 90.00
_cell_angle_gamma 130.60
_symmetry_space_group_name_H-M 'P 1'
_symmetry_Int_Tables_number 1
_symmetry_space_group_name_Hall 'P 1'
loop_
_atom_site_label
_atom_site_type_symbol
_atom_site_fract_x
_atom_site_fract_y
_atom_site_fract_z
_atom_site_occupancy
Hg1 Hg 0.5000 0.5000 0.7400 1
Cu1 Cu 0.0000 0.0000 0.4640 1
P1 P 0.0000 0.0000 0.0550 1
P2 P 0.5000 0.5000 0.2410 1


4.
# CuHg2P GGA-PBE relaxed
# - E_form: 1.9 eV per formula unit
# - DFT total energy: -2.060 eV per atom
data_CuHg2P
_cell_length_a 2.9776
_cell_length_b 2.9776
_cell_length_c 8.4796
_cell_angle_alpha 90.00
_cell_angle_beta 90.00
_cell_angle_gamma 91.18
_symmetry_space_group_name_H-M 'P 1'
_symmetry_Int_Tables_number 1
_symmetry_space_group_name_Hall 'P 1'
loop_
_atom_site_label
_atom_site_type_symbol
_atom_site_fract_x
_atom_site_fract_y
_atom_site_fract_z
_atom_site_occupancy
Cu1 Cu 0.5000 0.5000 0.7500 1
P1 P 0.5000 0.5000 0.2500 1
Hg1 Hg 0.0000 0.0000 0.9762 1
Hg2 Hg 0.0000 0.0000 0.5238 1


5.
# CuHg2P GGA-PBE relaxed
# - E_form: 1.6 eV per formula unit
# - DFT total energy: -2.118 eV per atom
data_CuHg2P
_cell_length_a 3.7467
_cell_length_b 2.8366
_cell_length_c 7.2917
_cell_angle_alpha 90.03
_cell_angle_beta 90.00
_cell_angle_gamma 90.00
_symmetry_space_group_name_H-M 'P 1'
_symmetry_Int_Tables_number 1
_symmetry_space_group_name_Hall 'P 1'
loop_
_atom_site_label
_atom_site_type_symbol
_atom_site_fract_x
_atom_site_fract_y
_atom_site_fract_z
_atom_site_occupancy
Cu1 Cu 0.5000 0.7500 0.7500 1
P1 P 0.5000 0.2500 0.2500 1
Hg1 Hg 0.0000 0.2494 0.5249 1
Hg2 Hg 0.0000 0.2506 0.9751 1


6.
# CuHgP2 GGA-PBE relaxed
# - E_form: 1.7 eV per formula unit
# - DFT total energy: -3.384 eV per atom
data_CuHgP2
_cell_length_a 9.9987
_cell_length_b 9.9987
_cell_length_c 9.9987
_cell_angle_alpha 16.87
_cell_angle_beta 16.87
_cell_angle_gamma 16.87
_symmetry_space_group_name_H-M 'P 1'
_symmetry_Int_Tables_number 1
_symmetry_space_group_name_Hall 'P 1'
loop_
_atom_site_label
_atom_site_type_symbol
_atom_site_fract_x
_atom_site_fract_y
_atom_site_fract_z
_atom_site_occupancy
Hg1 Hg 0.7500 0.7500 0.7500 1
P1 P 0.9755 0.9755 0.9755 1
P2 P 0.5245 0.5245 0.5245 1
Cu1 Cu 0.2500 0.2500 0.2500 1


7.
# CuHg2P GGA-PBE relaxed
# - E_form: 2.1 eV per formula unit
# - DFT total energy: -1.997 eV per atom
data_CuHg2P
_cell_length_a 4.7707
_cell_length_b 4.7707
_cell_length_c 4.7707
_cell_angle_alpha 60.00
_cell_angle_beta 60.00
_cell_angle_gamma 60.00
_symmetry_space_group_name_H-M 'P 1'
_symmetry_Int_Tables_number 1
_symmetry_space_group_name_Hall 'P 1'
loop_
_atom_site_label
_atom_site_type_symbol
_atom_site_fract_x
_atom_site_fract_y
_atom_site_fract_z
_atom_site_occupancy
Cu1 Cu 0.5000 0.5000 0.5000 1
Hg1 Hg 0.2500 0.2500 0.2500 1
P1 P 0.7500 0.7500 0.7500 1
Hg2 Hg 0.0000 0.0000 0.0000 1


8.
# CuHgP2 GGA-PBE relaxed
# - E_form: 1.2 eV per formula unit
# - DFT total energy: -3.493 eV per atom
data_CuHgP2
_cell_length_a 4.5280
_cell_length_b 4.5280
_cell_length_c 8.1773
_cell_angle_alpha 73.93
_cell_angle_beta 73.93
_cell_angle_gamma 90.00
_symmetry_space_group_name_H-M 'P 1'
_symmetry_Int_Tables_number 1
_symmetry_space_group_name_Hall 'P 1'
loop_
_atom_site_label
_atom_site_type_symbol
_atom_site_fract_x
_atom_site_fract_y
_atom_site_fract_z
_atom_site_occupancy
P1 P 0.2370 0.6250 0.2500 1
Cu1 Cu 0.2500 0.7500 0.5000 1
Cu2 Cu 0.5000 0.5000 0.0000 1
Hg1 Hg 0.7500 0.2500 0.5000 1
P2 P 0.8750 0.7630 0.7500 1
P3 P 0.5130 0.1250 0.2500 1
Hg2 Hg 0.0000 0.0000 0.0000 1
P4 P 0.3750 0.4870 0.7500 1


The records above yield density of states at the Fermi level values of 2.2 0.2 2.1 1.0 2.5 2.3 1.3 4.3 states/eV/cell, respectively.